Entry 1
Density functional theory data (GGA-PBE) for a relaxed HgTe2Pd8 crystal.

Summary:
The symmetry is C2/m (12). For the spin magnetization, the calculation gives 0.00 μB/atom.

Cell lengths 7.854, 7.854, 6.451 Å; angles 108.68, 108.68, 30.78 degrees
Element x y z (fractional)
Hg1 0.000 0.000 0.000
Te1 0.303 0.303 0.338
Te2 0.697 0.697 0.662
Pd1 0.087 0.087 0.460
Pd2 0.179 0.179 0.930
Pd3 0.355 0.355 0.793
Pd4 0.463 0.463 0.262
Pd5 0.537 0.537 0.738
Pd6 0.645 0.645 0.207
Pd7 0.821 0.821 0.070
Pd8 0.913 0.913 0.540

=====

Entry 2
Density functional theory data (GGA-PBE) for a relaxed HgTe2Pd8 crystal.

Summary:
The symmetry is P1 (1). For the spin magnetization, the calculation gives 0.00 μB/atom.

Cell lengths 4.743, 6.267, 7.573 Å; angles 112.64, 105.94, 95.11 degrees
Element x y z (fractional)
Hg1 0.000 0.000 0.000
Te1 0.369 0.297 0.682
Te2 0.687 0.615 0.318
Pd1 0.184 0.891 0.337
Pd2 0.218 0.447 0.395
Pd3 0.384 0.905 0.750
Pd4 0.393 0.676 0.000
Pd5 0.633 0.155 0.249
Pd6 0.823 0.053 0.605
Pd7 0.846 0.555 0.663
Pd8 0.880 0.425 0.000

=====

Most stable structure, least stable structure: entry 1, entry 2.

=====

Entry 1
Density functional theory data (GGA-PBE) for a relaxed HgTePd crystal.

Summary:
The symmetry is P3m1 (156). For the spin magnetization, the calculation gives 0.00 μB/atom.

Cell lengths 3.976, 3.976, 5.353 Å; angles 90.00, 90.00, 120.00 degrees
Element x y z (fractional)
Hg1 0.000 0.000 0.000
Te1 0.333 0.667 0.576
Pd1 0.667 0.333 0.323

=====

Entry 2
Density functional theory data (GGA-PBE) for a relaxed HgTePd crystal.

Summary:
The symmetry is P2_1/c (14). For the spin magnetization, the calculation gives 0.00 μB/atom.

Cell lengths 5.953, 7.774, 7.023 Å; angles 90.00, 104.55, 90.00 degrees
Element x y z (fractional)
Hg1 0.210 0.123 0.383
Hg2 0.210 0.377 0.883
Hg3 0.790 0.623 0.117
Hg4 0.790 0.877 0.617
Te1 0.263 0.620 0.363
Te2 0.263 0.880 0.863
Te3 0.737 0.120 0.137
Te4 0.737 0.380 0.637
Pd1 0.495 0.628 0.747
Pd2 0.495 0.872 0.247
Pd3 0.505 0.128 0.753
Pd4 0.505 0.372 0.253

=====

Entry 3
Density functional theory data (GGA-PBE) for a relaxed HgTePd crystal.

Summary:
The symmetry is C2/m (12). For the spin magnetization, the calculation gives 0.00 μB/atom.

Cell lengths 6.337, 6.337, 6.565 Å; angles 97.46, 97.46, 37.86 degrees
Element x y z (fractional)
Hg1 0.141 0.141 0.178
Hg2 0.859 0.859 0.822
Te1 0.385 0.385 0.311
Te2 0.615 0.615 0.689
Pd1 0.000 0.000 0.500
Pd2 0.500 0.500 0.000

=====

Entry 4
Density functional theory data (GGA-PBE) for a relaxed HgTePd crystal.

Summary:
The symmetry is F-43m (216). For the spin magnetization, the calculation gives 0.00 μB/atom.

Cell lengths 4.664, 4.664, 4.664 Å; angles 60.00, 60.00, 60.00 degrees
Element x y z (fractional)
Hg1 0.000 0.000 0.000
Te1 0.500 0.500 0.500
Pd1 0.250 0.250 0.250

=====

Most stable structure, least stable structure: entry 3, entry 1.

=====

Entry 1
Density functional theory data (GGA-PBE) for a relaxed HgTePd4 crystal.

Summary:
The symmetry is Pnma (62). For the spin magnetization, the calculation gives 0.00 μB/atom.

Cell lengths 6.724, 3.924, 16.700 Å; angles 90.00, 90.00, 90.00 degrees
Element x y z (fractional)
Hg1 0.202 0.250 0.208
Hg2 0.298 0.750 0.708
Hg3 0.702 0.250 0.292
Hg4 0.798 0.750 0.792
Te1 0.211 0.750 0.455
Te2 0.289 0.250 0.955
Te3 0.711 0.750 0.045
Te4 0.789 0.250 0.545
Pd1 0.019 0.750 0.936
Pd2 0.074 0.250 0.363
Pd3 0.108 0.250 0.807
Pd4 0.208 0.250 0.583
Pd5 0.292 0.750 0.083
Pd6 0.392 0.750 0.307
Pd7 0.426 0.750 0.863
Pd8 0.481 0.250 0.436
Pd9 0.519 0.750 0.564
Pd10 0.574 0.250 0.137
Pd11 0.608 0.250 0.693
Pd12 0.708 0.250 0.917
Pd13 0.792 0.750 0.417
Pd14 0.892 0.750 0.193
Pd15 0.926 0.750 0.637
Pd16 0.981 0.250 0.064

=====

Entry 2
Density functional theory data (GGA-PBE) for a relaxed HgTePd4 crystal.

Summary:
The symmetry is I4_1md (109). For the spin magnetization, the calculation gives 0.00 μB/atom.

Cell lengths 7.222, 7.222, 7.222 Å; angles 113.03, 113.03, 102.56 degrees
Element x y z (fractional)
Hg1 0.000 0.000 0.000
Hg2 0.750 0.250 0.500
Te1 0.255 0.755 0.500
Te2 0.505 0.505 0.000
Pd1 0.015 0.345 0.330
Pd2 0.015 0.686 0.670
Pd3 0.095 0.265 0.830
Pd4 0.436 0.265 0.170
Pd5 0.490 0.170 0.680
Pd6 0.490 0.810 0.320
Pd7 0.560 0.740 0.820
Pd8 0.920 0.740 0.180

=====

Most stable structure, least stable structure: entry 1, entry 2.

=====

Entry 1
Density functional theory data (GGA-PBE) for a relaxed HgTe2Pd2 crystal.

Summary:
The symmetry is Cc (9). For the spin magnetization, the calculation gives 0.00 μB/atom.

Cell lengths 7.019, 7.019, 6.933 Å; angles 119.52, 119.52, 60.53 degrees
Element x y z (fractional)
Hg1 0.053 0.947 0.500
Hg2 0.947 0.053 0.000
Te1 0.235 0.394 0.957
Te2 0.394 0.235 0.457
Te3 0.574 0.764 0.986
Te4 0.764 0.574 0.486
Pd1 0.188 0.645 0.736
Pd2 0.502 0.976 0.708
Pd3 0.645 0.188 0.236
Pd4 0.976 0.502 0.208

=====

Entry 2
Density functional theory data (GGA-PBE) for a relaxed HgTe2Pd2 crystal.

Summary:
The symmetry is P4/mbm (127). For the spin magnetization, the calculation gives 0.00 μB/atom.

Cell lengths 7.497, 7.497, 3.858 Å; angles 90.00, 90.00, 90.00 degrees
Element x y z (fractional)
Hg1 0.000 0.000 0.000
Hg2 0.500 0.500 0.000
Te1 0.163 0.337 0.500
Te2 0.337 0.837 0.500
Te3 0.663 0.163 0.500
Te4 0.837 0.663 0.500
Pd1 0.133 0.633 0.000
Pd2 0.367 0.133 0.000
Pd3 0.633 0.867 0.000
Pd4 0.867 0.367 0.000

=====

Most stable structure, least stable structure: entry 1, entry 2.

=====

Entry 1
Density functional theory data (GGA-PBE) for a relaxed HgTe2Pd crystal.

Summary:
The symmetry is R3m (160). For the spin magnetization, the calculation gives 0.00 μB/atom.

Cell lengths 8.036, 8.036, 8.036 Å; angles 29.28, 29.28, 29.28 degrees
Element x y z (fractional)
Hg1 0.000 0.000 0.000
Te1 0.226 0.226 0.226
Te2 0.439 0.439 0.439
Pd1 0.832 0.832 0.832

=====

Entry 2
Density functional theory data (GGA-PBE) for a relaxed HgTe2Pd crystal.

Summary:
The symmetry is I-42d (122). For the spin magnetization, the calculation gives 0.00 μB/atom.

Cell lengths 7.709, 7.709, 7.709 Å; angles 130.90, 130.90, 71.97 degrees
Element x y z (fractional)
Hg1 0.000 0.000 0.000
Hg2 0.750 0.250 0.500
Te1 0.165 0.625 0.040
Te2 0.375 0.415 0.540
Te3 0.585 0.125 0.960
Te4 0.875 0.835 0.460
Pd1 0.250 0.750 0.500
Pd2 0.500 0.500 0.000

=====

Entry 3
Density functional theory data (GGA-PBE) for a relaxed HgTe2Pd crystal.

Summary:
The symmetry is R-3m (166). For the spin magnetization, the calculation gives 0.00 μB/atom.

Cell lengths 12.313, 12.313, 12.313 Å; angles 15.05, 15.05, 15.05 degrees
Element x y z (fractional)
Hg1 0.000 0.000 0.000
Te1 0.429 0.429 0.429
Te2 0.571 0.571 0.571
Pd1 0.500 0.500 0.500

=====

Most stable structure, least stable structure: entry 1, entry 3.

=====

Entry 1
Density functional theory data (GGA-PBE) for a relaxed Hg2TePd crystal.

Summary:
The symmetry is I-42d (122). For the spin magnetization, the calculation gives 0.00 μB/atom.

Cell lengths 7.997, 7.997, 7.997 Å; angles 133.30, 133.30, 68.19 degrees
Element x y z (fractional)
Hg1 0.098 0.625 0.973
Hg2 0.375 0.348 0.473
Hg3 0.652 0.125 0.027
Hg4 0.875 0.902 0.527
Te1 0.250 0.750 0.500
Te2 0.500 0.500 0.000
Pd1 0.000 0.000 0.000
Pd2 0.750 0.250 0.500

=====

Entry 2
Density functional theory data (GGA-PBE) for a relaxed Hg2TePd crystal.

Summary:
The symmetry is R-3m (166). For the spin magnetization, the calculation gives 0.00 μB/atom.

Cell lengths 11.535, 11.535, 11.535 Å; angles 15.87, 15.87, 15.87 degrees
Element x y z (fractional)
Hg1 0.078 0.078 0.078
Hg2 0.922 0.922 0.922
Te1 0.500 0.500 0.500
Pd1 0.000 0.000 0.000

=====

Most stable structure, least stable structure: entry 1, entry 2.

=====

Entry 1
Density functional theory data (GGA-PBE) for a relaxed HgTe3Pd2 crystal.

Summary:
The symmetry is P-3m1 (164). For the spin magnetization, the calculation gives 0.00 μB/atom.

Cell lengths 8.003, 8.003, 5.528 Å; angles 90.00, 90.00, 120.00 degrees
Element x y z (fractional)
Hg1 0.333 0.667 0.180
Hg2 0.667 0.333 0.820
Te1 0.171 0.342 0.746
Te2 0.171 0.829 0.746
Te3 0.342 0.171 0.254
Te4 0.658 0.829 0.746
Te5 0.829 0.171 0.254
Te6 0.829 0.658 0.254
Pd1 0.000 0.000 0.500
Pd2 0.000 0.500 0.500
Pd3 0.500 0.000 0.500
Pd4 0.500 0.500 0.500

=====

Entry 2
Density functional theory data (GGA-PBE) for a relaxed HgTe3Pd2 crystal.

Summary:
The symmetry is C2/m (12). For the spin magnetization, the calculation gives 0.00 μB/atom.

Cell lengths 8.112, 8.112, 6.510 Å; angles 110.88, 110.88, 60.67 degrees
Element x y z (fractional)
Hg1 0.224 0.224 0.286
Hg2 0.776 0.776 0.714
Te1 0.205 0.714 0.221
Te2 0.286 0.795 0.779
Te3 0.289 0.289 0.779
Te4 0.711 0.711 0.221
Te5 0.714 0.205 0.221
Te6 0.795 0.286 0.779
Pd1 0.000 0.000 0.000
Pd2 0.000 0.500 0.000
Pd3 0.500 0.000 0.000
Pd4 0.500 0.500 0.000

=====

Most stable structure, least stable structure: entry 1, entry 2.

=====

Entry 1
Density functional theory data (GGA-PBE) for a relaxed Hg2TePd8 crystal.

Summary:
The symmetry is P-1 (2). For the spin magnetization, the calculation gives 0.00 μB/atom.

Cell lengths 4.841, 5.474, 7.653 Å; angles 102.57, 92.78, 100.60 degrees
Element x y z (fractional)
Hg1 0.160 0.198 0.342
Hg2 0.840 0.802 0.658
Te1 0.500 0.500 0.000
Pd1 0.044 0.764 0.030
Pd2 0.235 0.478 0.698
Pd3 0.315 0.759 0.436
Pd4 0.399 0.015 0.815
Pd5 0.601 0.985 0.185
Pd6 0.685 0.241 0.564
Pd7 0.765 0.522 0.302
Pd8 0.956 0.236 0.970

=====

Entry 2
Density functional theory data (GGA-PBE) for a relaxed Hg2TePd8 crystal.

Summary:
The symmetry is C2/m (12). For the spin magnetization, the calculation gives 0.00 μB/atom.

Cell lengths 7.977, 7.977, 5.873 Å; angles 111.52, 111.52, 34.33 degrees
Element x y z (fractional)
Hg1 0.176 0.176 0.176
Hg2 0.824 0.824 0.824
Te1 0.500 0.500 0.500
Pd1 0.000 0.000 0.251
Pd2 0.000 0.000 0.749
Pd3 0.179 0.179 0.679
Pd4 0.350 0.350 0.605
Pd5 0.351 0.351 0.096
Pd6 0.649 0.649 0.904
Pd7 0.650 0.650 0.395
Pd8 0.821 0.821 0.321

=====

Most stable structure, least stable structure: entry 2, entry 1.

=====

Entry 1
Density functional theory data (GGA-PBE) for a relaxed HgTePd3 crystal.

Summary:
The symmetry is P2_1/m (11). For the spin magnetization, the calculation gives 0.00 μB/atom.

Cell lengths 4.361, 5.796, 7.608 Å; angles 90.00, 90.05, 90.00 degrees
Element x y z (fractional)
Hg1 0.250 0.250 0.132
Hg2 0.750 0.750 0.868
Te1 0.251 0.750 0.426
Te2 0.749 0.250 0.574
Pd1 0.249 0.007 0.723
Pd2 0.249 0.493 0.723
Pd3 0.250 0.750 0.080
Pd4 0.750 0.250 0.920
Pd5 0.751 0.507 0.277
Pd6 0.751 0.993 0.277

=====

Entry 2
Density functional theory data (GGA-PBE) for a relaxed HgTePd3 crystal.

Summary:
The symmetry is Pm-3m (221). For the spin magnetization, the calculation gives 0.00 μB/atom.

Cell lengths 4.981, 4.981, 4.981 Å; angles 90.00, 90.00, 90.00 degrees
Element x y z (fractional)
Hg1 0.000 0.000 0.000
Te1 0.500 0.500 0.500
Pd1 0.000 0.500 0.500
Pd2 0.500 0.000 0.500
Pd3 0.500 0.500 0.000

=====

Entry 3
Density functional theory data (GGA-PBE) for a relaxed HgTePd3 crystal.

Summary:
The symmetry is Cmmm (65). For the spin magnetization, the calculation gives 0.00 μB/atom.

Cell lengths 8.870, 8.870, 3.249 Å; angles 90.00, 90.00, 128.70 degrees
Element x y z (fractional)
Hg1 0.000 0.000 0.000
Hg2 0.500 0.500 0.500
Te1 0.000 0.500 0.000
Te2 0.500 0.000 0.000
Pd1 0.076 0.303 0.500
Pd2 0.303 0.076 0.500
Pd3 0.360 0.640 0.000
Pd4 0.640 0.360 0.000
Pd5 0.697 0.924 0.500
Pd6 0.924 0.697 0.500

=====

Most stable structure, least stable structure: entry 1, entry 2.